Record 1
PuAlZnAu6 PBE-GGA relaxed; DOS at the Fermi energy = 31.4 states/eV/cell; electronic total energy = -81.51 eV per cell; formation enthalpy at 0 K = -193 meV/atom
1.0
-3.676 4.555 5.456
3.676 -4.555 5.456
3.676 4.555 -5.456
Pu Al Zn Au
2 2 2 12
Direct
0.465 0.215 0.250
0.535 0.785 0.750
0.000 0.000 0.000
0.500 0.000 0.500
0.000 0.000 0.500
0.000 0.500 0.000
0.139 0.428 0.312
0.139 0.827 0.711
0.163 0.913 0.250
0.233 0.483 0.750
0.384 0.173 0.812
0.384 0.572 0.211
0.616 0.428 0.789
0.616 0.827 0.188
0.767 0.517 0.250
0.837 0.087 0.750
0.861 0.173 0.289
0.861 0.572 0.688

Record 2
Mn2SiMo2 PBE-GGA relaxed; DOS at the Fermi energy = 7.6 states/eV/cell; electronic total energy = -88.42 eV per cell
1.0
3.089 0.000 0.000
0.000 3.089 0.000
0.000 0.000 14.600
Mn Si Mo
4 2 4
Direct
0.000 0.500 0.250
0.000 0.500 0.750
0.500 0.000 0.250
0.500 0.000 0.750
0.000 0.000 0.000
0.500 0.500 0.500
0.000 0.000 0.398
0.000 0.000 0.602
0.500 0.500 0.102
0.500 0.500 0.898

Record 3
Ac5Cd2Ir PBE-GGA relaxed; DOS at the Fermi energy = 36.2 states/eV/cell; electronic total energy = -136.46 eV per cell; formation enthalpy at 0 K = -360 meV/atom
1.0
13.309 0.000 0.000
0.000 8.997 0.000
0.000 0.000 9.629
Ac Cd Ir
20 8 4
Direct
0.015 0.250 0.056
0.066 0.040 0.675
0.066 0.460 0.675
0.204 0.750 0.409
0.211 0.250 0.347
0.289 0.750 0.847
0.296 0.250 0.909
0.434 0.540 0.175
0.434 0.960 0.175
0.485 0.750 0.556
0.515 0.250 0.444
0.566 0.040 0.825
0.566 0.460 0.825
0.704 0.750 0.091
0.711 0.250 0.153
0.789 0.750 0.653
0.796 0.250 0.591
0.934 0.540 0.325
0.934 0.960 0.325
0.985 0.750 0.944
0.169 0.549 0.100
0.169 0.951 0.100
0.331 0.049 0.600
0.331 0.451 0.600
0.669 0.549 0.400
0.669 0.951 0.400
0.831 0.049 0.900
0.831 0.451 0.900
0.005 0.750 0.558
0.495 0.250 0.058
0.505 0.750 0.942
0.995 0.250 0.442

Record 4
CoPSe2 PBE-GGA relaxed; DOS at the Fermi energy = 2.5 states/eV/cell; electronic total energy = -17.45 eV per cell
1.0
3.034 0.000 0.000
0.000 3.034 0.000
0.000 0.000 6.966
Co P Se
1 1 2
Direct
0.000 0.000 0.000
0.000 0.000 0.500
0.500 0.500 0.209
0.500 0.500 0.791

Record 5
Rb2NaSF6 PBE-GGA relaxed; DOS at the Fermi energy = 9.4 states/eV/cell; electronic total energy = -39.23 eV per cell
1.0
-3.167 3.167 4.161
3.167 -3.167 4.161
3.167 3.167 -4.161
Rb Na S F
2 1 1 6
Direct
0.250 0.750 0.500
0.750 0.250 0.500
0.000 0.000 0.000
0.500 0.500 0.000
0.255 0.255 0.511
0.255 0.745 0.000
0.281 0.281 0.000
0.719 0.719 0.000
0.745 0.255 0.000
0.745 0.745 0.489

Record 6
K5Cd2Au PBE-GGA relaxed; DOS at the Fermi energy = 9.6 states/eV/cell; electronic total energy = -22.75 eV per cell; formation enthalpy at 0 K = -98 meV/atom
1.0
2.316 -6.513 0.000
2.316 6.513 0.000
0.000 0.000 23.534
K Cd Au
10 4 2
Direct
0.000 0.000 0.250
0.000 0.000 0.750
0.137 0.863 0.555
0.137 0.863 0.945
0.401 0.599 0.623
0.401 0.599 0.877
0.599 0.401 0.123
0.599 0.401 0.377
0.863 0.137 0.055
0.863 0.137 0.445
0.295 0.705 0.183
0.295 0.705 0.317
0.705 0.295 0.683
0.705 0.295 0.817
0.268 0.732 0.750
0.732 0.268 0.250

> What is the DOS at the Fermi energy in the sixth record?

9.6 states/eV/cell